Entry 1:
## ScNb4Ga4 (PBE-GGA)

Data for ScNb4Ga4 after structural relaxation.

Lattice parameters (Å, degrees): 5.1521 8.5829 8.5829 90.00 90.00 90.00
With the nearest neighbours (Å) after each atom.
Fractional positions:
1 Nb 0.1055 0.8721 0.3985  5 Ga 2.60-2.80, 1 Nb 2.80
2 Nb 0.8945 0.3985 0.1279  5 Ga 2.60-2.80, 1 Nb 2.80
3 Nb 0.3945 0.3721 0.8985  5 Ga 2.60-2.80, 1 Nb 2.80
4 Ga 0.0877 0.1528 0.2856  1 Ga 2.44, 4 Nb 2.60-2.72
5 Ga 0.0877 0.8472 0.7144  1 Ga 2.44, 4 Nb 2.60-2.72
6 Nb 0.1055 0.1279 0.6015  5 Ga 2.60-2.80, 1 Nb 2.80
7 Ga 0.5877 0.7856 0.3472  1 Ga 2.44, 4 Nb 2.60-2.72
8 Sc 0.0000 0.0000 0.0000  4 Ga 2.82
9 Ga 0.9123 0.7144 0.1528  1 Ga 2.44, 4 Nb 2.60-2.72
10 Ga 0.4123 0.6528 0.7856  1 Ga 2.44, 4 Nb 2.60-2.72
11 Sc 0.5000 0.5000 0.5000  4 Ga 2.82
12 Ga 0.4123 0.3472 0.2144  1 Ga 2.44, 4 Nb 2.60-2.72
13 Nb 0.3945 0.6279 0.1015  5 Ga 2.60-2.80, 1 Nb 2.80
14 Ga 0.5877 0.2144 0.6528  1 Ga 2.44, 4 Nb 2.60-2.72
15 Nb 0.6055 0.8985 0.6279  5 Ga 2.60-2.80, 1 Nb 2.80
16 Ga 0.9123 0.2856 0.8472  1 Ga 2.44, 4 Nb 2.60-2.72
17 Nb 0.8945 0.6015 0.8721  5 Ga 2.60-2.80, 1 Nb 2.80
18 Nb 0.6055 0.1015 0.3721  5 Ga 2.60-2.80, 1 Nb 2.80

Values from the calculation:
The symmetry is No. 86. The formation energy comes out at 0.5 eV per formula unit.

---

Entry 2:
## Sc2NbGa (PBE-GGA)

Data for Sc2NbGa after structural relaxation.

Lattice parameters (Å, degrees): 2.9842 2.9842 8.8536 90.00 90.00 90.00
With the nearest neighbours (Å) after each atom.
Fractional positions:
1 Sc 0.0000 0.0000 0.2409  4 Sc 2.98, 4 Ga 3.00, 4 Nb 3.12
2 Sc 0.0000 0.0000 0.7591  4 Sc 2.98, 4 Ga 3.00, 4 Nb 3.12
3 Nb 0.5000 0.5000 0.5000  4 Nb 2.98, 8 Sc 3.12
4 Ga 0.5000 0.5000 0.0000  4 Ga 2.98, 8 Sc 3.00

Values from the calculation:
The symmetry is No. 123. The formation energy comes out at -0.9 eV per formula unit.

---

Entry 3:
## Sc3NbGa (PBE-GGA)

Data for Sc3NbGa after structural relaxation.

Lattice parameters (Å, degrees): 5.0674 5.0674 5.0674 90.00 90.00 90.00
With the nearest neighbours (Å) after each atom.
Fractional positions:
1 Nb 0.0000 0.0000 0.0000  6 Sc 2.53
2 Ga 0.5000 0.5000 0.5000  12 Sc 3.58
3 Sc 0.5000 0.0000 0.0000  2 Nb 2.53
4 Sc 0.0000 0.0000 0.5000  2 Nb 2.53
5 Sc 0.0000 0.5000 0.0000  2 Nb 2.53

Values from the calculation:
Its excess energy over the best structure of this formula in the dataset is 0.0155 eV per atom. The symmetry is No. 221. The formation energy comes out at 3.1 eV per formula unit.

---

Entry 4:
## Sc2NbGa (PBE-GGA)

Data for Sc2NbGa after structural relaxation.

Lattice parameters (Å, degrees): 4.2220 4.2695 4.2695 90.00 90.00 90.00
With the nearest neighbours (Å) after each atom.
Fractional positions:
1 Sc 0.0000 0.0000 0.5000  4 Nb 3.00, 4 Ga 3.00, 4 Sc 3.02
2 Sc 0.0000 0.5000 0.0000  4 Nb 3.00, 4 Ga 3.00, 4 Sc 3.02
3 Nb 0.5000 0.5000 0.5000  8 Sc 3.00, 4 Ga 3.02
4 Ga 0.5000 0.0000 0.0000  8 Sc 3.00, 4 Nb 3.02

Values from the calculation:
The symmetry is No. 123. The formation energy comes out at -0.9 eV per formula unit.

---

Entry 5:
## Sc2NbGaSi (PBE-GGA)

Data for Sc2NbGaSi after structural relaxation.

Lattice parameters (Å, degrees): 4.8908 4.8063 4.8908 90.00 90.00 90.00
With the nearest neighbours (Å) after each atom.
Fractional positions:
1 Si 0.5000 0.5000 0.5000  8 Sc 3.43, 4 Nb 3.46
2 Nb 0.0000 0.5000 0.0000  2 Ga 2.40
3 Sc 0.5000 0.0000 0.0000  2 Ga 2.45
4 Ga 0.0000 0.0000 0.0000  2 Nb 2.40, 4 Sc 2.45
5 Sc 0.0000 0.0000 0.5000  2 Ga 2.45

Values from the calculation:
The symmetry is No. 123. As for the formation energy (no corrections): 0.4379 eV per atom.

---

Entry 6:
## Sc2NbGa5Tc2 (PBE-GGA)

Data for Sc2NbGa5Tc2 after structural relaxation.

Lattice parameters (Å, degrees): 4.0954 9.1437 9.1437 90.00 90.00 90.00
With the nearest neighbours (Å) after each atom.
Fractional positions:
1 Tc 0.0000 0.6237 0.8763  3 Sc 2.57-2.80, 6 Ga 2.60-2.64
2 Sc 0.0000 0.1774 0.3226  3 Tc 2.57-2.80
3 Sc 0.0000 0.3226 0.8226  3 Tc 2.57-2.80
4 Tc 0.0000 0.3763 0.1237  3 Sc 2.57-2.80, 6 Ga 2.60-2.64
5 Ga 0.5000 0.7040 0.4354  2 Tc 2.64, 3 Ga 2.77, 2 Nb 2.83
6 Ga 0.5000 0.0646 0.7960  2 Tc 2.64, 3 Ga 2.77, 2 Nb 2.83
7 Nb 0.0000 0.0000 0.0000  8 Ga 2.83
8 Ga 0.5000 0.2960 0.5646  2 Tc 2.64, 3 Ga 2.77, 2 Nb 2.83
9 Ga 0.5000 0.7960 0.9354  2 Tc 2.64, 3 Ga 2.77, 2 Nb 2.83
10 Ga 0.5000 0.5646 0.7040  2 Tc 2.64, 3 Ga 2.77, 2 Nb 2.83
11 Nb 0.0000 0.5000 0.5000  8 Ga 2.83
12 Tc 0.0000 0.1237 0.6237  3 Sc 2.57-2.80, 6 Ga 2.60-2.64
13 Sc 0.0000 0.8226 0.6774  3 Tc 2.57-2.80
14 Sc 0.0000 0.6774 0.1774  3 Tc 2.57-2.80
15 Ga 0.5000 0.0000 0.5000  4 Tc 2.60, 4 Ga 2.77
16 Ga 0.5000 0.9354 0.2040  2 Tc 2.64, 3 Ga 2.77, 2 Nb 2.83
17 Ga 0.5000 0.5000 0.0000  4 Tc 2.60, 4 Ga 2.77
18 Tc 0.0000 0.8763 0.3763  3 Sc 2.57-2.80, 6 Ga 2.60-2.64
19 Ga 0.5000 0.4354 0.2960  2 Tc 2.64, 3 Ga 2.77, 2 Nb 2.83
20 Ga 0.5000 0.2040 0.0646  2 Tc 2.64, 3 Ga 2.77, 2 Nb 2.83

Values from the calculation:
The symmetry is No. 127. The formation energy comes out at -3.0 eV per formula unit.

---

Entry 7:
## ScTiNbGa (PBE-GGA)

Data for ScTiNbGa after structural relaxation.

Lattice parameters (Å, degrees): 4.6605 4.6605 4.6605 60.00 60.00 60.00
With the nearest neighbours (Å) after each atom.
Fractional positions:
1 Ga 0.5000 0.5000 0.5000  4 Sc 2.85, 4 Ti 2.85
2 Nb 0.0000 0.0000 0.0000  4 Ti 2.85, 4 Sc 2.85
3 Ti 0.2500 0.2500 0.2500  4 Nb 2.85, 4 Ga 2.85
4 Sc 0.7500 0.7500 0.7500  4 Nb 2.85, 4 Ga 2.85

Values from the calculation:
The symmetry is No. 216. The formation energy comes out at -0.6 eV per formula unit.

---

Entry 8:
## ScNbGaW2 (PBE-GGA)

Data for ScNbGaW2 after structural relaxation.

Lattice parameters (Å, degrees): 4.6615 4.6710 4.6615 90.00 90.00 90.00
With the nearest neighbours (Å) after each atom.
Fractional positions:
1 Nb 0.5000 0.5000 0.5000  4 Sc 3.30, 8 W 3.30
2 Ga 0.0000 0.0000 0.0000  4 W 2.33, 2 Sc 2.34
3 Sc 0.0000 0.5000 0.0000  2 Ga 2.34
4 W 0.0000 0.0000 0.5000  2 Ga 2.33
5 W 0.5000 0.0000 0.0000  2 Ga 2.33

Values from the calculation:
The symmetry is No. 123. The formation energy comes out at 6.6 eV per formula unit.

---

Entry 9:
## YScNb2Ga (PBE-GGA)

Data for YScNb2Ga after structural relaxation.

Lattice parameters (Å, degrees): 4.9128 5.2724 4.9128 90.00 90.00 90.00
With the nearest neighbours (Å) after each atom.
Fractional positions:
1 Nb 0.5000 0.0000 0.0000  2 Y 2.46
2 Ga 0.0000 0.5000 0.0000  2 Y 2.64
3 Sc 0.5000 0.5000 0.5000  4 Ga 3.47, 8 Nb 3.60
4 Y 0.0000 0.0000 0.0000  4 Nb 2.46, 2 Ga 2.64
5 Nb 0.0000 0.0000 0.5000  2 Y 2.46

Values from the calculation:
The symmetry is No. 123. The formation energy comes out at 7.1 eV per formula unit.

---

Entry 10:
## NbGa2Se (PBE-GGA)

Data for NbGa2Se after structural relaxation.

Lattice parameters (Å, degrees): 7.4475 7.4475 5.9368 51.15 51.15 90.00
With the nearest neighbours (Å) after each atom.
Fractional positions:
1 Nb 0.0000 0.0000 0.0000  4 Ga 2.73, 2 Se 2.74
2 Ga 0.8750 0.8729 0.7500  2 Se 2.71, 2 Nb 2.73, 2 Ga 2.74
3 Nb 0.7500 0.2500 0.5000  4 Ga 2.73, 2 Se 2.74
4 Ga 0.3750 0.3771 0.7500  2 Se 2.71, 2 Nb 2.73, 2 Ga 2.74
5 Se 0.5000 0.5000 0.0000  4 Ga 2.71, 2 Nb 2.74
6 Ga 0.1271 0.6250 0.2500  2 Se 2.71, 2 Nb 2.73, 2 Ga 2.74
7 Se 0.2500 0.7500 0.5000  4 Ga 2.71, 2 Nb 2.74
8 Ga 0.6229 0.1250 0.2500  2 Se 2.71, 2 Nb 2.73, 2 Ga 2.74

Values from the calculation:
The symmetry is No. 122. As for the formation energy (no corrections): 0.1549 eV per atom.

---

Entry 11:
## NbGa2Se6 (PBE-GGA)

Data for NbGa2Se6 after structural relaxation.

Lattice parameters (Å, degrees): 6.9669 8.3533 8.3533 83.99 85.27 85.27
With the nearest neighbours (Å) after each atom.
Fractional positions:
1 Se 0.5816 0.9531 0.8328  1 Ga 2.48, 2 Nb 2.61-2.70
2 Se 0.3110 0.4002 0.8925  1 Nb 2.47, 1 Ga 2.49
3 Ga 0.1085 0.6264 0.7581  4 Se 2.42-2.49
4 Se 0.1890 0.1075 0.5998  1 Nb 2.47, 1 Ga 2.49
5 Se 0.7985 0.5216 0.7326  2 Ga 2.42-2.43
6 Se 0.2015 0.4784 0.2674  2 Ga 2.42-2.43
7 Nb 0.2500 0.1146 0.8854  6 Se 2.47-2.70
8 Se 0.2985 0.7326 0.5216  2 Ga 2.42-2.43
9 Se 0.9184 0.1672 0.0469  1 Ga 2.48, 2 Nb 2.61-2.70
10 Se 0.0816 0.8328 0.9531  1 Ga 2.48, 2 Nb 2.61-2.70
11 Se 0.6890 0.5998 0.1075  1 Nb 2.47, 1 Ga 2.49
12 Se 0.7015 0.2674 0.4784  2 Ga 2.42-2.43
13 Ga 0.6085 0.7581 0.6264  4 Se 2.42-2.49
14 Se 0.8110 0.8925 0.4002  1 Nb 2.47, 1 Ga 2.49
15 Ga 0.3915 0.2419 0.3736  4 Se 2.42-2.49
16 Se 0.4184 0.0469 0.1672  1 Ga 2.48, 2 Nb 2.61-2.70
17 Ga 0.8915 0.3736 0.2419  4 Se 2.42-2.49
18 Nb 0.7500 0.8854 0.1146  6 Se 2.47-2.70

Values from the calculation:
The symmetry is No. 15. As for the formation energy (no corrections): -0.4690 eV per atom.

---

Entry 12:
## Nb2GaSe2 (PBE-GGA)

Data for Nb2GaSe2 after structural relaxation.

Lattice parameters (Å, degrees): 7.4018 7.4018 3.3336 90.00 90.00 90.00
With the nearest neighbours (Å) after each atom.
Fractional positions:
1 Nb 0.3486 0.8486 0.0000  6 Se 2.73-2.74, 2 Ga 2.81
2 Se 0.8581 0.3581 0.5000  6 Nb 2.73-2.74, 1 Se 2.97
3 Nb 0.8486 0.6514 0.0000  6 Se 2.73-2.74, 2 Ga 2.81
4 Ga 0.0000 0.0000 0.0000  4 Nb 2.81
5 Ga 0.5000 0.5000 0.0000  4 Nb 2.81
6 Nb 0.1514 0.3486 0.0000  6 Se 2.73-2.74, 2 Ga 2.81
7 Se 0.6419 0.8581 0.5000  6 Nb 2.73-2.74, 1 Se 2.97
8 Se 0.1419 0.6419 0.5000  6 Nb 2.73-2.74, 1 Se 2.97
9 Se 0.3581 0.1419 0.5000  6 Nb 2.73-2.74, 1 Se 2.97
10 Nb 0.6514 0.1514 0.0000  6 Se 2.73-2.74, 2 Ga 2.81

Values from the calculation:
Its excess energy over the best structure of this formula in the dataset is 0.0000 eV per atom. The symmetry is No. 127. As for the formation energy (no corrections): -0.2744 eV per atom.

---

Entry 13:
## NbGaSe2 (PBE-GGA)

Data for NbGaSe2 after structural relaxation.

Lattice parameters (Å, degrees): 6.6586 6.6586 7.2065 62.48 62.48 90.00
With the nearest neighbours (Å) after each atom.
Fractional positions:
1 Ga 0.2500 0.7500 0.5000  4 Se 2.93
2 Se 0.8750 0.9243 0.7500  2 Nb 2.53
3 Se 0.6743 0.1250 0.2500  2 Nb 2.53
4 Se 0.0757 0.6250 0.2500  2 Nb 2.53
5 Nb 0.0000 0.0000 0.0000  4 Se 2.53
6 Ga 0.5000 0.5000 0.0000  4 Se 2.93
7 Se 0.3750 0.3257 0.7500  2 Nb 2.53
8 Nb 0.7500 0.2500 0.5000  4 Se 2.53

Values from the calculation:
The symmetry is No. 122. As for the formation energy (no corrections): -0.1690 eV per atom.

---

Entry 14:
## NbGaSe4 (PBE-GGA)

Data for NbGaSe4 after structural relaxation.

Lattice parameters (Å, degrees): 6.4774 6.4743 6.4006 90.00 90.61 90.00
With the nearest neighbours (Å) after each atom.
Fractional positions:
1 Se 0.1418 0.3603 0.8798  2 Nb 2.60-2.63, 1 Ga 2.74
2 Se 0.6418 0.1397 0.8798  2 Nb 2.60-2.63, 1 Ga 2.74
3 Ga 0.0000 0.5000 0.5000  6 Se 2.70-2.80
4 Nb 0.5000 0.5000 0.0000  6 Se 2.56-2.63
5 Se 0.3920 0.3804 0.3640  1 Nb 2.56, 2 Ga 2.70-2.80, 1 Se 2.71
6 Se 0.3582 0.8603 0.1202  2 Nb 2.60-2.63, 1 Ga 2.74
7 Nb 0.0000 0.0000 0.0000  6 Se 2.56-2.63
8 Se 0.6080 0.6196 0.6360  1 Nb 2.56, 2 Ga 2.70-2.80, 1 Se 2.71
9 Se 0.1080 0.8804 0.6360  1 Nb 2.56, 2 Ga 2.70-2.80, 1 Se 2.71
10 Se 0.8582 0.6397 0.1202  2 Nb 2.60-2.63, 1 Ga 2.74
11 Se 0.8920 0.1196 0.3640  1 Nb 2.56, 2 Ga 2.70-2.80, 1 Se 2.71
12 Ga 0.5000 0.0000 0.5000  6 Se 2.70-2.80

Values from the calculation:
The symmetry is No. 14. As for the formation energy (no corrections): -0.3833 eV per atom.

---

Entry 15:
## Nb2Ga2Se7 (PBE-GGA)

Data for Nb2Ga2Se7 after structural relaxation.

Lattice parameters (Å, degrees): 7.2950 6.6463 6.6463 106.45 99.08 99.08
With the nearest neighbours (Å) after each atom.
Fractional positions:
1 Se 0.8046 0.5336 0.9295  1 Ga 2.43, 1 Nb 2.67
2 Ga 0.6561 0.7708 0.7708  3 Se 2.39-2.43
3 Ga 0.3439 0.2292 0.2292  3 Se 2.39-2.43
4 Nb 0.0000 0.3540 0.6460  6 Se 2.50-2.78
5 Se 0.8046 0.9295 0.5336  1 Ga 2.43, 1 Nb 2.67
6 Se 0.2726 0.6163 0.6163  2 Nb 2.50, 1 Ga 2.74
7 Nb 0.0000 0.6460 0.3540  6 Se 2.50-2.78
8 Se 0.7274 0.3837 0.3837  2 Nb 2.50, 1 Ga 2.74
9 Se 0.1954 0.4664 0.0705  1 Ga 2.43, 1 Nb 2.67
10 Se 0.5000 0.0000 0.0000  2 Ga 2.39
11 Se 0.1954 0.0705 0.4664  1 Ga 2.43, 1 Nb 2.67

Values from the calculation:
The symmetry is No. 12. As for the formation energy (no corrections): -0.4377 eV per atom.

---

Entry 16:
## Nb2GaSe2 (PBE-GGA)

Data for Nb2GaSe2 after structural relaxation.

Lattice parameters (Å, degrees): 4.3232 4.3232 6.4248 70.34 70.34 90.00
With the nearest neighbours (Å) after each atom.
Fractional positions:
1 Nb 0.6174 0.6174 0.7652  4 Se 2.63, 1 Nb 2.65
2 Ga 0.0000 0.0000 0.0000  8 Nb 3.33, 8 Se 3.56
3 Nb 0.3826 0.3826 0.2348  4 Se 2.63, 1 Nb 2.65
4 Se 0.2500 0.7500 0.5000  4 Nb 2.63
5 Se 0.7500 0.2500 0.5000  4 Nb 2.63

Values from the calculation:
Its excess energy over the best structure of this formula in the dataset is 0.3090 eV per atom. The symmetry is No. 139. As for the formation energy (no corrections): 0.0345 eV per atom.

---

Entry 17:
## Nb2VGaSe (PBE-GGA)

Data for Nb2VGaSe after structural relaxation.

Lattice parameters (Å, degrees): 4.6726 4.6726 4.6848 90.00 90.00 90.00
With the nearest neighbours (Å) after each atom.
Fractional positions:
1 Nb 0.5000 0.0000 0.0000  2 V 2.34
2 Se 0.5000 0.5000 0.5000  4 Ga 3.30, 8 Nb 3.31
3 Nb 0.0000 0.5000 0.0000  2 V 2.34
4 V 0.0000 0.0000 0.0000  4 Nb 2.34, 2 Ga 2.34
5 Ga 0.0000 0.0000 0.5000  2 V 2.34

Values from the calculation:
The symmetry is No. 123. As for the formation energy (no corrections): 0.7580 eV per atom.

---

Entry 18:
## Nb4Ga2Si (PBE-GGA)

Data for Nb4Ga2Si after structural relaxation.

Lattice parameters (Å, degrees): 4.4945 4.4945 7.7209 73.08 73.08 90.00
With the nearest neighbours (Å) after each atom.
Fractional positions:
1 Ga 0.3642 0.3642 0.2715  5 Nb 2.68-2.95
2 Si 0.0000 0.0000 0.0000  6 Nb 2.25-2.44
3 Nb 0.5000 0.0000 0.0000  2 Si 2.25
4 Nb 0.0000 0.5000 0.0000  2 Si 2.25
5 Nb 0.8265 0.8265 0.3470  1 Si 2.44, 1 Ga 2.68
6 Nb 0.1735 0.1735 0.6530  1 Si 2.44, 1 Ga 2.68
7 Ga 0.6358 0.6358 0.7285  5 Nb 2.68-2.95

Values from the calculation:
The symmetry is No. 139. As for the formation energy (no corrections): 0.5390 eV per atom.

---

Entry 19:
## NbGaSi2 (PBE-GGA)

Data for NbGaSi2 after structural relaxation.

Lattice parameters (Å, degrees): 7.1038 7.1038 5.6931 51.40 51.40 90.00
With the nearest neighbours (Å) after each atom.
Fractional positions:
1 Si 0.1335 0.6250 0.2500  2 Ga 2.56, 2 Nb 2.64, 2 Si 2.68
2 Ga 0.2500 0.7500 0.5000  4 Si 2.56, 2 Nb 2.68
3 Nb 0.0000 0.0000 0.0000  4 Si 2.64, 2 Ga 2.68
4 Ga 0.5000 0.5000 0.0000  4 Si 2.56, 2 Nb 2.68
5 Si 0.8750 0.8665 0.7500  2 Ga 2.56, 2 Nb 2.64, 2 Si 2.68
6 Si 0.3750 0.3835 0.7500  2 Ga 2.56, 2 Nb 2.64, 2 Si 2.68
7 Si 0.6165 0.1250 0.2500  2 Ga 2.56, 2 Nb 2.64, 2 Si 2.68
8 Nb 0.7500 0.2500 0.5000  4 Si 2.64, 2 Ga 2.68

Values from the calculation:
The symmetry is No. 122. As for the formation energy (no corrections): 0.2398 eV per atom.

---

Entry 20:
## NbGaSi (PBE-GGA)

Data for NbGaSi after structural relaxation.

Lattice parameters (Å, degrees): 2.7164 4.4689 4.4689 120.00 90.00 90.00
With the nearest neighbours (Å) after each atom.
Fractional positions:
1 Nb 0.0000 0.0000 0.0000  2 Nb 2.72, 6 Si 2.91-2.92, 6 Ga 2.91-2.92
2 Si 0.5007 0.3333 0.6667  3 Ga 2.58, 2 Si 2.72
3 Ga 0.4993 0.6667 0.3333  3 Si 2.58, 2 Ga 2.72

Values from the calculation:
Its excess energy over the best structure of this formula in the dataset is 0.3862 eV per atom. The symmetry is No. 187. As for the formation energy (no corrections): -0.0732 eV per atom.

---

Looking at total energy for the records above, in order, we have -6.469; -6.660; -5.794; -6.663; -5.799; -6.163; -6.993; -7.750; -5.770; -4.747; -4.584; -6.302; -5.185; -4.889; -5.036; -5.993; -6.396; -6.855; -5.746; -6.246 eV per atom.